{
  "formula": "InTc2P",
  "functional": "meta-GGA SCAN",
  "state": "single point on PBEsol structure",
  "lattice": [[2.938, 0.000, 0.000], [1.469, 2.544, 0.000], [1.469, 0.848, 8.352]],
  "species": ["Tc", "Tc", "In", "P"],
  "frac_coords": [[0.743, 0.743, 0.770], [0.994, 0.994, 0.017], [0.500, 0.500, 0.500], [0.262, 0.262, 0.213]],
  "total_energy_ev_per_atom": -28.37,
  "space_group": "R3m",
  "formation_energy_mev_per_atom": 104
}

{
  "formula": "InTcP2",
  "functional": "meta-GGA SCAN",
  "state": "single point on PBEsol structure",
  "lattice": [[-3.567, 0.810, 1.192], [-1.074, -3.616, -0.757], [3.357, 0.287, 3.642]],
  "species": ["In", "P", "P", "Tc"],
  "frac_coords": [[0.250, 0.750, 0.500], [0.000, 0.000, 0.000], [0.750, 0.250, 0.500], [0.500, 0.500, 0.000]],
  "total_energy_ev_per_atom": -21.66,
  "space_group": "I-4m2",
  "formation_energy_mev_per_atom": 649
}

{
  "formula": "InTcP2",
  "functional": "meta-GGA SCAN",
  "state": "single point on PBEsol structure",
  "lattice": [[3.214, 0.000, 0.000], [0.000, 4.434, 0.005], [0.000, -1.064, 4.304]],
  "species": ["P", "P", "Tc", "In"],
  "frac_coords": [[0.000, 0.000, 0.500], [0.000, 0.500, 0.000], [0.500, 0.000, 0.000], [0.500, 0.500, 0.500]],
  "total_energy_ev_per_atom": -21.80,
  "space_group": "Cmmm",
  "formation_energy_mev_per_atom": 513
}